(1)
Computed, not measured: a geometry-optimized Li2IrW structure at the GGA-PBEsol level of DFT.

Properties
DFT total energy = -6.86 eV/atom
Crystal system = cubic

```
data_Li2IrW
_chemical_formula_sum 'Li8 Ir4 W4'
_cell_length_a 5.955
_cell_length_b 5.955
_cell_length_c 5.955
_cell_angle_alpha 90.00
_cell_angle_beta 90.00
_cell_angle_gamma 90.00
_space_group_name_H-M_alt 'F -4 3 m'
_space_group_IT_number 216
_space_group_name_Hall 'F -4 2 3'
loop_
_atom_site_label
_atom_site_type_symbol
_atom_site_fract_x
_atom_site_fract_y
_atom_site_fract_z
Li1 Li 0.000 0.000 0.000
Li2 Li 0.250 0.250 0.250
Ir1 Ir 0.250 0.250 0.750
W1 W 0.000 0.000 0.500
```



(2)
Computed, not measured: a geometry-optimized LaMgCr structure at the GGA-PBEsol level of DFT.

Properties
DFT total energy = -5.31 eV/atom
Crystal system = trigonal

```
data_LaMgCr
_chemical_formula_sum 'La1 Mg1 Cr1'
_cell_length_a 5.0663
_cell_length_b 5.0663
_cell_length_c 3.3361
_cell_angle_alpha 90.00
_cell_angle_beta 90.00
_cell_angle_gamma 120.00
_space_group_name_H-M_alt 'P 3 m 1'
_space_group_IT_number 156
_space_group_name_Hall 'P 3 -2"'
loop_
_atom_site_label
_atom_site_type_symbol
_atom_site_fract_x
_atom_site_fract_y
_atom_site_fract_z
La1 La 0.0000 0.0000 0.0000
Mg1 Mg 0.3333 0.6667 0.4990
Cr1 Cr 0.6667 0.3333 0.5014
```



(3)
Computed, not measured: a geometry-optimized InSbN2F structure at the GGA-PBEsol level of DFT.

Properties
Raw formation energy = 395 meV/atom
DFT total energy = -4.91 eV/atom
Crystal system = tetragonal

```
data_InSbN2F
_chemical_formula_sum 'In1 Sb1 N2 F1'
_cell_length_a 4.200
_cell_length_b 4.200
_cell_length_c 4.078
_cell_angle_alpha 90.00
_cell_angle_beta 90.00
_cell_angle_gamma 90.00
_space_group_name_H-M_alt 'P 4/m m m'
_space_group_IT_number 123
_space_group_name_Hall '-P 4 2'
loop_
_atom_site_label
_atom_site_type_symbol
_atom_site_fract_x
_atom_site_fract_y
_atom_site_fract_z
In1 In 0.000 0.000 0.000
Sb1 Sb 0.500 0.500 0.500
N1 N 0.000 0.500 0.000
F1 F 0.000 0.000 0.500
```



(4)
Computed, not measured: a geometry-optimized Fe3Co5 structure at the GGA-PBEsol level of DFT.

Properties
DFT total energy = -8.15 eV/atom
Crystal system = orthorhombic

```
data_Fe3Co5
_chemical_formula_sum 'Fe12 Co20'
_cell_length_a 5.555
_cell_length_b 7.869
_cell_length_c 7.916
_cell_angle_alpha 90.00
_cell_angle_beta 90.00
_cell_angle_gamma 90.00
_space_group_name_H-M_alt 'F m m m'
_space_group_IT_number 69
_space_group_name_Hall '-F 2 2'
loop_
_atom_site_label
_atom_site_type_symbol
_atom_site_fract_x
_atom_site_fract_y
_atom_site_fract_z
Fe1 Fe 0.000 0.000 0.000
Fe2 Fe 0.250 0.000 0.250
Co1 Co 0.000 0.000 0.500
Co2 Co 0.000 0.250 0.250
Co3 Co 0.250 0.250 0.000
```



(5)
Computed, not measured: a geometry-optimized ZrTlMo2 structure at the GGA-PBEsol level of DFT.

Properties
DFT total energy = -8.44 eV/atom
Crystal system = monoclinic

```
data_ZrTlMo2
_chemical_formula_sum 'Zr2 Tl2 Mo4'
_cell_length_a 5.773
_cell_length_b 9.463
_cell_length_c 2.855
_cell_angle_alpha 90.00
_cell_angle_beta 112.30
_cell_angle_gamma 90.00
_space_group_name_H-M_alt 'C 1 2/m 1'
_space_group_IT_number 12
_space_group_name_Hall '-C 2y'
loop_
_atom_site_label
_atom_site_type_symbol
_atom_site_fract_x
_atom_site_fract_y
_atom_site_fract_z
Zr1 Zr 0.000 0.000 0.000
Tl1 Tl 0.000 0.500 0.000
Mo1 Mo 0.250 0.250 0.500
```



(6)
Computed, not measured: a geometry-optimized LiCd4Sb structure at the GGA-PBEsol level of DFT.

Properties
Raw formation energy = 7 meV/atom
DFT total energy = -1.88 eV/atom
Crystal system = cubic

```
data_LiCd4Sb
_chemical_formula_sum 'Li4 Cd16 Sb4'
_cell_length_a 8.153
_cell_length_b 8.153
_cell_length_c 8.153
_cell_angle_alpha 90.00
_cell_angle_beta 90.00
_cell_angle_gamma 90.00
_space_group_name_H-M_alt 'F -4 3 m'
_space_group_IT_number 216
_space_group_name_Hall 'F -4 2 3'
loop_
_atom_site_label
_atom_site_type_symbol
_atom_site_fract_x
_atom_site_fract_y
_atom_site_fract_z
Li1 Li 0.000 0.000 0.000
Cd1 Cd 0.125 0.125 0.375
Sb1 Sb 0.250 0.250 0.750
```



(7)
Computed, not measured: a geometry-optimized Y2TaSi structure at the GGA-PBEsol level of DFT.

Properties
Raw formation energy = 170 meV/atom
DFT total energy = -7.82 eV/atom
Crystal system = cubic

```
data_Y2TaSi
_chemical_formula_sum 'Y8 Ta4 Si4'
_cell_length_a 6.868
_cell_length_b 6.868
_cell_length_c 6.868
_cell_angle_alpha 90.00
_cell_angle_beta 90.00
_cell_angle_gamma 90.00
_space_group_name_H-M_alt 'F -4 3 m'
_space_group_IT_number 216
_space_group_name_Hall 'F -4 2 3'
loop_
_atom_site_label
_atom_site_type_symbol
_atom_site_fract_x
_atom_site_fract_y
_atom_site_fract_z
Y1 Y 0.000 0.000 0.000
Y2 Y 0.250 0.250 0.250
Ta1 Ta 0.000 0.000 0.500
Si1 Si 0.250 0.250 0.750
```



(8)
Computed, not measured: a geometry-optimized Ti2AgBAu structure at the GGA-PBEsol level of DFT.

Properties
DFT total energy = -4.34 eV/atom
Crystal system = tetragonal

```
data_Ti2AgBAu
_chemical_formula_sum 'Ti2 Ag1 B1 Au1'
_cell_length_a 4.732
_cell_length_b 4.732
_cell_length_c 4.819
_cell_angle_alpha 90.00
_cell_angle_beta 90.00
_cell_angle_gamma 90.00
_space_group_name_H-M_alt 'P 4/m m m'
_space_group_IT_number 123
_space_group_name_Hall '-P 4 2'
loop_
_atom_site_label
_atom_site_type_symbol
_atom_site_fract_x
_atom_site_fract_y
_atom_site_fract_z
Ti1 Ti 0.000 0.500 0.000
Ag1 Ag 0.000 0.000 0.000
B1 B 0.500 0.500 0.500
Au1 Au 0.000 0.000 0.500
```



(9)
Computed, not measured: a geometry-optimized AlPCl7 structure at the GGA-PBEsol level of DFT.

Properties
Raw formation energy = -936 meV/atom
DFT total energy = -3.60 eV/atom
Crystal system = monoclinic

```
data_AlPCl7
_chemical_formula_sum 'Al4 P4 Cl28'
_cell_length_a 6.251
_cell_length_b 11.472
_cell_length_c 14.653
_cell_angle_alpha 90.00
_cell_angle_beta 102.88
_cell_angle_gamma 90.00
_space_group_name_H-M_alt 'P 1 21/c 1'
_space_group_IT_number 14
_space_group_name_Hall '-P 2ybc'
loop_
_atom_site_label
_atom_site_type_symbol
_atom_site_fract_x
_atom_site_fract_y
_atom_site_fract_z
Al1 Al 0.142 0.040 0.251
P1 P 0.495 0.744 0.902
Cl1 Cl 0.043 0.086 0.375
Cl2 Cl 0.100 0.582 0.374
Cl3 Cl 0.195 0.647 0.745
Cl4 Cl 0.275 0.130 0.617
Cl5 Cl 0.334 0.662 0.987
Cl6 Cl 0.342 0.132 0.013
Cl7 Cl 0.452 0.127 0.253
```



(10)
Computed, not measured: a geometry-optimized Ag3GeBi structure at the GGA-PBEsol level of DFT.

Properties
DFT total energy = -2.86 eV/atom
Crystal system = cubic

```
data_Ag3GeBi
_chemical_formula_sum 'Ag3 Ge1 Bi1'
_cell_length_a 5.224
_cell_length_b 5.224
_cell_length_c 5.224
_cell_angle_alpha 90.00
_cell_angle_beta 90.00
_cell_angle_gamma 90.00
_space_group_name_H-M_alt 'P m -3 m'
_space_group_IT_number 221
_space_group_name_Hall '-P 4 2 3'
loop_
_atom_site_label
_atom_site_type_symbol
_atom_site_fract_x
_atom_site_fract_y
_atom_site_fract_z
Ag1 Ag 0.000 0.000 0.500
Ge1 Ge 0.500 0.500 0.500
Bi1 Bi 0.000 0.000 0.000
```



(11)
Computed, not measured: a geometry-optimized KLaCl structure at the GGA-PBEsol level of DFT.

Properties
Raw formation energy = 141 meV/atom
DFT total energy = -2.69 eV/atom
Crystal system = cubic

```
data_KLaCl
_chemical_formula_sum 'K4 La4 Cl4'
_cell_length_a 7.551
_cell_length_b 7.551
_cell_length_c 7.551
_cell_angle_alpha 90.00
_cell_angle_beta 90.00
_cell_angle_gamma 90.00
_space_group_name_H-M_alt 'F -4 3 m'
_space_group_IT_number 216
_space_group_name_Hall 'F -4 2 3'
loop_
_atom_site_label
_atom_site_type_symbol
_atom_site_fract_x
_atom_site_fract_y
_atom_site_fract_z
K1 K 0.000 0.000 0.000
La1 La 0.250 0.250 0.250
Cl1 Cl 0.000 0.000 0.500
```



(12)
Computed, not measured: a geometry-optimized KIn2Pt structure at the GGA-PBEsol level of DFT.

Properties
DFT total energy = -3.79 eV/atom
Crystal system = trigonal

```
data_KIn2Pt
_chemical_formula_sum 'K3 In6 Pt3'
_cell_length_a 4.5964
_cell_length_b 4.5964
_cell_length_c 18.3913
_cell_angle_alpha 90.00
_cell_angle_beta 90.00
_cell_angle_gamma 120.00
_space_group_name_H-M_alt 'R -3 m'
_space_group_IT_number 166
_space_group_name_Hall '-R 3 2"'
loop_
_atom_site_label
_atom_site_type_symbol
_atom_site_fract_x
_atom_site_fract_y
_atom_site_fract_z
K1 K 0.0000 0.0000 0.0000
In1 In 0.0000 0.0000 0.2030
Pt1 Pt 0.0000 0.0000 0.5000
```